# 1
Computed, not measured: crystalline Nd2TaGe3Ir4 at its relaxed geometry at the PBE-GGA level of DFT.

Structure (POSCAR):
```
Nd2TaGe3Ir4
1.0
4.2195 0.0000 0.0000
0.0000 4.2195 0.0000
0.0000 0.0000 10.7026
Ge Ir Nd Ta
3 4 2 1
direct
0.5000 0.0000 0.8718 Ge
0.0000 0.0000 0.5000 Ge
0.0000 0.5000 0.1282 Ge
0.5000 0.0000 0.6389 Ir
0.0000 0.5000 0.3611 Ir
0.5000 0.5000 0.0000 Ir
0.0000 0.0000 0.0000 Ir
0.5000 0.0000 0.2398 Nd
0.0000 0.5000 0.7602 Nd
0.5000 0.5000 0.5000 Ta
```

DFT formation energy in eV/atom: -0.748
Space group: P-4m2 (115)


# 2
Computed, not measured: crystalline SrTa2Pb at its relaxed geometry at the PBE-GGA level of DFT.

Structure (POSCAR):
```
SrTa2Pb
1.0
-0.8260 1.2304 2.7632
2.1445 -1.7818 1.4345
6.7017 7.1248 -1.1692
Sr Ta Pb
1 2 1
direct
0.5000 0.5000 0.7564 Sr
0.5000 0.5000 0.2386 Ta
0.0000 0.0000 0.0353 Ta
0.0000 0.0000 0.4697 Pb
```

DFT formation energy in eV/atom: 0.537
Space group: P4mm (99)


# 3
Computed, not measured: crystalline ScAlAu at its relaxed geometry at the PBE-GGA level of DFT.

Structure (POSCAR):
```
ScAlAu
1.0
-0.4640 1.1315 3.8571
-1.8023 -3.5291 0.8187
6.2256 -2.8133 1.5739
Au Sc Al
2 2 2
direct
0.3136 0.3665 0.6665 Au
0.8136 0.8665 0.1727 Au
0.8136 0.8664 0.5730 Sc
0.3136 0.3664 0.2662 Sc
0.8136 0.3665 0.9196 Al
0.3136 0.8665 0.9196 Al
```

DFT formation energy in eV/atom: -0.684
Space group: P4/nmm (129)


# 4
Computed, not measured: crystalline NbAuCl at its relaxed geometry at the PBE-GGA level of DFT.

Structure (POSCAR):
```
NbAuCl
1.0
3.0880 0.0000 0.0000
1.5440 4.4536 -0.2802
1.5440 0.6900 10.6037
Cl Nb Au
2 2 2
direct
0.2912 0.2688 0.1488 Cl
0.7088 0.7312 0.8512 Cl
0.3268 0.6735 0.6728 Nb
0.6732 0.3265 0.3272 Nb
0.1061 0.2225 0.5653 Au
0.8939 0.7775 0.4347 Au
```

Space group: C2/m (12)
E_form (uncorrected) in eV per atom: -0.403


Number 1: energy -7.82 eV per atom, magnetic moment 0.00 μB/f.u.. Number 2: energy -6.74 eV per atom, magnetic moment 0.00 μB/f.u.. Number 3: energy -5.13 eV per atom, magnetic moment 0.00 μB/f.u.. Number 4: energy -5.47 eV per atom, magnetic moment 0.00 μB/f.u..